[1]
# NdSmN2 | Alexandria | PBE | optimized geometry
data_NdSmN2
_chemical_formula_sum 'Nd2 Sm2 N4'
_cell_length_a 6.2718
_cell_length_b 6.2718
_cell_length_c 5.1246
_cell_angle_alpha 114.11
_cell_angle_beta 114.11
_cell_angle_gamma 48.16
_space_group_name_H-M_alt 'P 1'
_space_group_IT_number 1
_space_group_name_Hall 'P 1'
loop_
_atom_site_label
_atom_site_type_symbol
_atom_site_fract_x
_atom_site_fract_y
_atom_site_fract_z
Nd1 Nd 0.1250 0.1250 0.3766
Nd2 Nd 0.8750 0.8750 0.6234
Sm1 Sm 0.3750 0.3750 0.1226
Sm2 Sm 0.6250 0.6250 0.8774
N1 N 0.1274 0.1274 0.8727
N2 N 0.3774 0.3774 0.6335
N3 N 0.6226 0.6226 0.3665
N4 N 0.8726 0.8726 0.1273
# Total energy, eV per atom: -7.950
# Formation energy without anion corrections, eV/atom: -1.416
# Space group: No. 12

=====

[2]
# ReAs2P | Alexandria | PBE | optimized geometry
data_ReAs2P
_chemical_formula_sum 'Re1 As2 P1'
_cell_length_a 3.6652
_cell_length_b 3.6652
_cell_length_c 4.9039
_cell_angle_alpha 90.00
_cell_angle_beta 90.00
_cell_angle_gamma 90.00
_space_group_name_H-M_alt 'P 1'
_space_group_IT_number 1
_space_group_name_Hall 'P 1'
loop_
_atom_site_label
_atom_site_type_symbol
_atom_site_fract_x
_atom_site_fract_y
_atom_site_fract_z
Re1 Re 0.0000 0.0000 0.0000
As1 As 0.0000 0.5000 0.5000
As2 As 0.5000 0.0000 0.5000
P1 P 0.5000 0.5000 0.0000
# Total energy, eV per atom: -5.983
# Space group: No. 123
# Energy of formation from the pure elements, kJ/mol of formula units: 311

=====

[3]
# NiSn2Pd | Alexandria | PBE | optimized geometry
data_NiSn2Pd
_chemical_formula_sum 'Ni2 Sn4 Pd2'
_cell_length_a 9.0945
_cell_length_b 9.0945
_cell_length_c 9.0945
_cell_angle_alpha 152.08
_cell_angle_beta 152.08
_cell_angle_gamma 39.89
_space_group_name_H-M_alt 'P 1'
_space_group_IT_number 1
_space_group_name_Hall 'P 1'
loop_
_atom_site_label
_atom_site_type_symbol
_atom_site_fract_x
_atom_site_fract_y
_atom_site_fract_z
Ni1 Ni 0.0000 0.0000 0.0000
Ni2 Ni 0.7500 0.2500 0.5000
Sn1 Sn 0.1099 0.6250 0.9849
Sn2 Sn 0.3750 0.3599 0.4849
Sn3 Sn 0.6401 0.1250 0.0151
Sn4 Sn 0.8750 0.8901 0.5151
Pd1 Pd 0.2500 0.7500 0.5000
Pd2 Pd 0.5000 0.5000 0.0000
# Total energy, eV per atom: -4.758
# Space group: No. 122
# Energy of formation from the pure elements, kJ/mol of formula units: -5
# Energy above the most stable polymorph in this dataset, eV/f.u.: 0.83

=====

For the records above, the corresponding volume values read 134.3 65.9 164.6 Å³ per cell.